Arrangement one

# NdErPt2

A relaxed NdErPt2 crystal (GGA-PBE, OQMD).

Lattice parameters (Å, degrees): 5.6272 4.5494 7.1388 90.00 91.52 90.00
Element x y z (fractional)
Nd 0.1422 0.2500 0.1856
Nd 0.8578 0.7500 0.8144
Er 0.3609 0.2500 0.6800
Er 0.6391 0.7500 0.3200
Pt 0.1646 0.7500 0.4643
Pt 0.3525 0.7500 0.9485
Pt 0.6475 0.2500 0.0515
Pt 0.8354 0.2500 0.5357

## Properties
Spin magnetization: 0.0 μB per cell
Space-group type: P2_1/m, No. 11

***

Arrangement two

# NdErPt2

A relaxed NdErPt2 crystal (GGA-PBE, OQMD).

Lattice parameters (Å, degrees): 3.7195 5.1411 8.9492 90.00 90.00 90.00
Element x y z (fractional)
Nd 0.0000 0.0008 0.2500
Nd 0.0000 0.9992 0.7500
Er 0.0009 0.5000 0.5000
Er 0.9991 0.5000 0.0000
Pt 0.5001 0.0000 0.0000
Pt 0.4999 0.0000 0.5000
Pt 0.5000 0.4976 0.7500
Pt 0.5000 0.5024 0.2500

## Properties
Spin magnetization: 0.0 μB per cell
Space-group type: P222_1, No. 17

***

Which structure wins on stability? arrangement one wins.

***

Arrangement one

# Nd3Er3Te2Pt

A relaxed Nd3Er3Te2Pt crystal (GGA-PBE, OQMD).

Lattice parameters (Å, degrees): 8.6082 8.6082 3.9436 90.00 90.00 120.00
Element x y z (fractional)
Nd 0.0000 0.2517 0.0000
Nd 0.2517 0.0000 0.0000
Nd 0.7483 0.7483 0.0000
Er 0.0000 0.5968 0.5000
Er 0.4032 0.4032 0.5000
Er 0.5968 0.0000 0.5000
Te 0.3333 0.6667 0.0000
Te 0.6667 0.3333 0.0000
Pt 0.0000 0.0000 0.5000

## Properties
Spin magnetization: 0.0 μB per cell
Space-group type: P-62m, No. 189

***

Arrangement two

# Nd3Er3Te2Pt

A relaxed Nd3Er3Te2Pt crystal (GGA-PBE, OQMD).

Lattice parameters (Å, degrees): 8.4665 8.4665 4.0580 90.00 90.00 120.00
Element x y z (fractional)
Nd 0.0000 0.5954 0.0000
Nd 0.4046 0.4046 0.0000
Nd 0.5954 0.0000 0.0000
Er 0.0000 0.2390 0.5000
Er 0.2390 0.0000 0.5000
Er 0.7610 0.7610 0.5000
Te 0.3333 0.6667 0.5000
Te 0.6667 0.3333 0.5000
Pt 0.0000 0.0000 0.0000

## Properties
Spin magnetization: 0.0 μB per cell
Space-group type: P-62m, No. 189

***

Which structure wins on stability? arrangement two wins.

***

Arrangement one

# NdErSi2

A relaxed NdErSi2 crystal (GGA-PBE, OQMD).

Lattice parameters (Å, degrees): 3.8730 8.0427 5.7755 90.00 90.00 90.00
Element x y z (fractional)
Nd 0.0000 0.0720 0.0000
Nd 0.5000 0.9280 0.5000
Er 0.0000 0.5692 0.2715
Er 0.5000 0.4308 0.7715
Si 0.0000 0.2234 0.5141
Si 0.0000 0.7028 0.7608
Si 0.5000 0.2972 0.2608
Si 0.5000 0.7766 0.0141

## Properties
Spin magnetization: 0.0 μB per cell
Space-group type: Pmn2_1, No. 31

***

Arrangement two

# NdErSi2

A relaxed NdErSi2 crystal (GGA-PBE, OQMD).

Lattice parameters (Å, degrees): 5.7958 3.8748 8.0535 90.00 90.56 90.00
Element x y z (fractional)
Nd 0.1148 0.2500 0.1805
Nd 0.8852 0.7500 0.8195
Er 0.3856 0.2500 0.6781
Er 0.6144 0.7500 0.3219
Si 0.1295 0.7500 0.4663
Si 0.3770 0.7500 0.9597
Si 0.6230 0.2500 0.0403
Si 0.8705 0.2500 0.5337

## Properties
Spin magnetization: 0.0 μB per cell
Space-group type: P2_1/m, No. 11

***

Which structure wins on stability? arrangement one wins.